Entry 1:
First-principles (PBE) data for a relaxed structure of CdInPd2, as listed in Alexandria.

Values from the calculation:
Formation energy from the elements, eV per atom: -0.08

Lattice parameters (Å, degrees): 4.1573 4.1573 18.5957 90.00 90.00 90.00
Closest atoms and distances in Å follow each position.
Space group I-42d (No. 122)
Inequivalent atoms, fractional coordinates:
Cd  0.0000  0.0000  0.0000 [4 per cell]  4 Pd 2.75, 4 In 2.94
In  0.0000  0.0000  0.5000 [4 per cell]  4 Pd 2.75, 4 Cd 2.94
Pd  0.2483  0.2500  0.6250 [8 per cell]  2 In 2.75, 2 Cd 2.75, 4 Pd 2.93-2.95

***

Entry 2:
First-principles (PBE) data for a relaxed structure of CeNpSeO2, as listed in Alexandria.

Values from the calculation:
Energy relative to the elements, uncorrected, eV per atom: -2.62

Lattice parameters (Å, degrees): 3.8926 3.8926 12.2260 90.00 90.00 90.00
Closest atoms and distances in Å follow each position.
Space group I4mm (No. 107)
Inequivalent atoms, fractional coordinates:
Ce  0.0000  0.0000  0.0000 [2 per cell]  4 O 2.32
Np  0.0000  0.0000  0.2946 [2 per cell]  4 O 2.31
Se  0.0000  0.0000  0.6519 [2 per cell]  4 Np 3.26, 4 Ce 3.32, 4 O 3.57
O  0.0000  0.5000  0.3969 [4 per cell]  2 Np 2.31, 2 Ce 2.32

***

Entry 3:
First-principles (PBE) data for a relaxed structure of Sm2GaS, as listed in Alexandria.

Values from the calculation:
Energy relative to the elements, uncorrected, eV per atom: -1.27

Lattice parameters (Å, degrees): 3.9771 3.9771 21.9561 90.00 90.00 120.00
Closest atoms and distances in Å follow each position.
Space group R-3m (No. 166, hexagonal axes)
Inequivalent atoms, fractional coordinates:
Sm  0.0000  0.0000  0.2440 [6 per cell]  3 S 2.86, 3 Ga 3.02
Ga  0.0000  0.0000  0.0000 [3 per cell]  6 Sm 3.02
S  0.0000  0.0000  0.5000 [3 per cell]  6 Sm 2.86

***

Entry 4:
First-principles (PBE) data for a relaxed structure of InW, as listed in Alexandria.

Values from the calculation:
Formation energy from the elements, eV per atom: 0.68

Lattice parameters (Å, degrees): 10.3294 2.8780 5.1467 90.00 101.09 90.00
Closest atoms and distances in Å follow each position.
Space group C2/m (No. 12)
Inequivalent atoms, fractional coordinates:
In  0.1137  0.0000  0.3582 [4 per cell]  3 In 2.88-2.99, 7 W 2.93-3.02
W  0.1390  0.5000  0.8742 [4 per cell]  4 W 2.81-2.88, 7 In 2.93-3.02

***

Entry 5:
First-principles (PBE) data for a relaxed structure of NbSi2W, as listed in Alexandria.

Values from the calculation:
Energy relative to the elements, uncorrected, eV per atom: -0.04

Lattice parameters (Å, degrees): 6.2139 6.2139 6.2139 90.00 90.00 90.00
Closest atoms and distances in Å follow each position.
Space group Fm-3m (No. 225)
Inequivalent atoms, fractional coordinates:
Nb  0.0000  0.0000  0.0000 [4 per cell]  8 Si 2.69
Si  0.2500  0.2500  0.2500 [8 per cell]  4 Nb 2.69, 4 W 2.69
W  0.0000  0.0000  0.5000 [4 per cell]  8 Si 2.69

***

Entry 6:
First-principles (PBE) data for a relaxed structure of YTm2Co, as listed in Alexandria.

Values from the calculation:
Formation energy from the elements, eV per atom: -0.16

Lattice parameters (Å, degrees): 3.6640 11.9223 9.1471 90.00 90.00 90.00
Closest atoms and distances in Å follow each position.
Space group Cmcm (No. 63)
Inequivalent atoms, fractional coordinates:
Y  0.0000  0.0805  0.2500 [4 per cell]  2 Co 2.75
Tm  0.0000  0.3583  0.0710 [8 per cell]  2 Co 2.76
Co  0.0000  0.2474  0.7500 [4 per cell]  2 Y 2.75, 4 Tm 2.76